w) Below is Tc2Ru2Au after structural relaxation, with properties calculated at the GGA-PBE level. Values from VASP.

Structure (Quantum ESPRESSO input):
```
&SYSTEM
  ibrav = 0, nat = 10, ntyp = 3
/
ATOMIC_SPECIES
Tc 98.00 Tc.upf
Ru 101.07 Ru.upf
Au 196.97 Au.upf
CELL_PARAMETERS angstrom
7.513 0.000 0.000
0.000 7.513 0.000
0.000 0.000 2.751
ATOMIC_POSITIONS crystal
Tc 0.166 0.334 0.000
Tc 0.334 0.834 0.000
Tc 0.666 0.166 0.000
Tc 0.834 0.666 0.000
Ru 0.125 0.625 0.500
Ru 0.375 0.125 0.500
Ru 0.625 0.875 0.500
Ru 0.875 0.375 0.500
Au 0.000 0.000 0.500
Au 0.500 0.500 0.500
```

x) Below is Tc2Ru2Au after structural relaxation, with properties calculated at the GGA-PBE level. Values from VASP.

Structure (Quantum ESPRESSO input):
```
&SYSTEM
  ibrav = 0, nat = 10, ntyp = 3
/
ATOMIC_SPECIES
Tc 98.00 Tc.upf
Ru 101.07 Ru.upf
Au 196.97 Au.upf
CELL_PARAMETERS angstrom
7.538 0.000 0.000
0.000 7.538 0.000
0.000 0.000 2.751
ATOMIC_POSITIONS crystal
Tc 0.122 0.378 0.000
Tc 0.378 0.878 0.000
Tc 0.622 0.122 0.000
Tc 0.878 0.622 0.000
Ru 0.166 0.666 0.500
Ru 0.334 0.166 0.500
Ru 0.666 0.834 0.500
Ru 0.834 0.334 0.500
Au 0.000 0.000 0.000
Au 0.500 0.500 0.000
```

Bottom line: w), by a margin of 2.4 kJ/mol of atoms.